A plane-wave DFT calculation with PBE with a Hubbard U was carried out for a geometry-optimized ScV2HO6 structure.

size of the total moment	2.0	μB/f.u.
E	-152.4	eV per cell

a b c (Å): 5.4138 7.4982 6.3572
angles (deg): 81.98 85.42 83.43
Atoms (fractional coordinates):
O  0.3281  0.8185  0.4213
Sc  0.2580  0.9185  0.1101
O  0.6042  0.4344  0.1873
H  0.9782  0.6313  0.2666
V  0.2011  0.7512  0.6691
O  0.9238  0.6682  0.6452
O  0.3958  0.5656  0.8127
O  0.6719  0.1815  0.5787
O  0.9532  0.3509  0.8816
O  0.4069  0.1600  0.0378
O  0.0468  0.6491  0.1184
H  0.0218  0.3687  0.7334
V  0.7396  0.6004  0.9351
Sc  0.7420  0.0815  0.8899
O  0.8953  0.0592  0.1927
V  0.2604  0.3996  0.0649
V  0.7989  0.2488  0.3309
O  0.0762  0.3318  0.3548
O  0.5931  0.8400  0.9622
O  0.1047  0.9408  0.8073